[1]
The following is a DFT calculation (PBE) of crystalline Fe4GeMo at its relaxed geometry.

Computed properties:
Energy of formation from the pure elements: 0.11 eV/atom
Magnetic moment: 5.8 μB per cell

Cell: 4.721 4.721 4.721 Å, 60.00 60.00 60.00°
Positions (direct):
Mo 0.250 0.250 0.250
Ge 0.000 0.000 0.000
Fe 0.625 0.625 0.125
Fe 0.625 0.125 0.625
Fe 0.625 0.625 0.625
Fe 0.125 0.625 0.625


[2]
The following is a DFT calculation (PBE) of crystalline KPmNd4S8 at its relaxed geometry.

Computed properties:
E: -6.047 eV/atom
Magnetic moment: 0.0 μB per cell

Cell: 8.487 8.487 8.466 Å, 59.92 59.92 60.00°
Positions (direct):
K 0.376 0.376 0.873
Pm 0.004 0.004 0.988
Nd 0.625 0.625 0.126
Nd 0.004 0.488 0.504
Nd 0.488 0.004 0.504
Nd 0.004 0.004 0.504
S 0.233 0.798 0.736
S 0.798 0.233 0.736
S 0.233 0.233 0.736
S 0.234 0.234 0.297
S 0.758 0.227 0.256
S 0.227 0.758 0.256
S 0.758 0.758 0.256
S 0.758 0.758 0.727


[3]
The following is a DFT calculation (PBE) of crystalline SrErPa2O8 at its relaxed geometry.

Computed properties:
E: -8.765 eV/atom
Magnetic moment: 0.7 μB per cell

Cell: 5.489 5.489 6.662 Å, 114.33 114.33 90.00°
Positions (direct):
Sr 0.750 0.250 0.500
Er 0.000 0.000 0.000
Pa 0.500 0.500 0.000
Pa 0.250 0.750 0.500
O 0.880 0.851 0.241
O 0.361 0.390 0.241
O 0.610 0.639 0.759
O 0.149 0.120 0.759
O 0.880 0.390 0.241
O 0.361 0.851 0.241
O 0.149 0.639 0.759
O 0.610 0.120 0.759


[4]
The following is a DFT calculation (PBE) of crystalline CaAsNF2 at its relaxed geometry.

Computed properties:
Energy above the lowest structure with this stoichiometry: 428 meV per atom
Magnetic moment: 0.0 μB per cell

Cell: 4.096 4.096 5.145 Å, 90.00 90.00 90.00°
Positions (direct):
As 0.500 0.500 0.500
N 0.000 0.000 0.500
Ca 0.000 0.000 0.000
F 0.000 0.500 0.000
F 0.500 0.000 0.000


[5]
The following is a DFT calculation (PBE) of crystalline NaTaRh3 at its relaxed geometry.

Computed properties:
Energy above the lowest structure with this stoichiometry: 0 meV per atom
Energy of formation from the pure elements: 0.60 eV/atom
Magnetic moment: 0.0 μB per cell

Cell: 4.783 4.783 4.783 Å, 90.00 90.00 90.00°
Positions (direct):
Na 0.500 0.500 0.500
Rh 0.000 0.500 0.000
Rh 0.000 0.000 0.500
Rh 0.500 0.000 0.000
Ta 0.000 0.000 0.000


[6]
The following is a DFT calculation (PBE) of crystalline Rb8Cd2Br at its relaxed geometry.

Computed properties:
E: -1.306 eV/atom
Magnetic moment: 0.0 μB per cell

Cell: 5.338 11.323 12.135 Å, 95.81 102.70 90.00°
Positions (direct):
Rb 0.598 0.539 0.196
Rb 0.340 0.012 0.680
Rb 0.212 0.336 0.424
Rb 0.005 0.803 0.009
Rb 0.788 0.664 0.576
Rb 0.660 0.988 0.320
Rb 0.402 0.461 0.804
Rb 0.995 0.197 0.991
Cd 0.180 0.737 0.361
Cd 0.820 0.263 0.639
Br 0.500 0.000 0.000


[7]
The following is a DFT calculation (PBE) of crystalline KCoPt at its relaxed geometry.

Computed properties:
Energy above the lowest structure with this stoichiometry: 0 meV per atom
Energy of formation from the pure elements: 0.22 eV/atom
Magnetic moment: 1.9 μB per cell

Cell: 6.271 6.271 6.271 Å, 154.65 141.95 46.28°
Positions (direct):
Co 0.937 0.937 0.000
K 0.670 0.670 0.000
Pt 0.393 0.393 0.000


[8]
The following is a DFT calculation (PBE) of crystalline TcBrCl3 at its relaxed geometry.

Computed properties:
Energy above the lowest structure with this stoichiometry: 0 meV per atom
Magnetic moment: 6.0 μB per cell

Cell: 7.162 6.159 8.770 Å, 78.21 73.62 111.07°
Positions (direct):
Tc 0.798 0.094 0.368
Tc 0.927 0.723 0.110
Br 0.806 0.588 0.901
Br 0.468 0.750 0.577
Cl 0.917 0.230 0.560
Cl 0.715 0.950 0.138
Cl 0.114 0.470 0.135
Cl 0.613 0.348 0.341
Cl 0.010 0.866 0.343
Cl 0.238 0.051 0.918


[9]
The following is a DFT calculation (PBE) of crystalline InP2Cl at its relaxed geometry.

Computed properties:
Energy above the lowest structure with this stoichiometry: 98 meV per atom
Magnetic moment: 0.0 μB per cell

Cell: 3.283 5.235 6.857 Å, 54.10 90.00 90.00°
Positions (direct):
Cl 0.000 0.428 0.565
In 0.500 0.881 0.674
P 0.000 0.978 0.107
P 0.500 0.213 0.154


[10]
The following is a DFT calculation (PBE) of crystalline HfVNiN2 at its relaxed geometry.

Computed properties:
E: -7.201 eV/atom
Magnetic moment: 0.0 μB per cell

Cell: 3.856 4.146 3.856 Å, 90.00 90.00 90.00°
Positions (direct):
Ni 0.000 0.000 0.000
N 0.000 0.000 0.500
N 0.500 0.000 0.000
Hf 0.500 0.500 0.500
V 0.000 0.500 0.000


[11]
The following is a DFT calculation (PBE) of crystalline PmHoC at its relaxed geometry.

Computed properties:
Energy above the lowest structure with this stoichiometry: 0 meV per atom
Energy of formation from the pure elements: -0.21 eV/atom
Magnetic moment: 0.5 μB per cell

Cell: 3.617 6.288 7.599 Å, 123.57 90.00 90.00°
Positions (direct):
Pm 0.750 0.732 0.722
Pm 0.250 0.268 0.278
Ho 0.750 0.776 0.289
Ho 0.250 0.224 0.711
C 0.750 0.244 0.503
C 0.250 0.756 0.497


[12]
The following is a DFT calculation (PBE) of crystalline CrPdRh2 at its relaxed geometry.

Computed properties:
Energy of formation from the pure elements: -0.06 eV/atom
Magnetic moment: 0.0 μB per cell

Cell: 2.695 2.695 8.961 Å, 81.35 81.35 60.00°
Positions (direct):
Cr 0.000 0.000 0.000
Rh 0.743 0.743 0.770
Rh 0.257 0.257 0.230
Pd 0.500 0.500 0.500